Entry 1:
Density functional theory data (PBE-GGA) for Tc2WCl2 after structural relaxation.

As for the theoretical density: 9980 kg/m³. The calculation puts the uncorrected formation energy at 1.141 eV per atom. The total energy is -6.33 eV per atom. The size of the total moment comes out at 0.00 μB per atom. The relative energy among the computed polymorphs is 0 meV per atom. For the density of states at the Fermi level, the calculation gives 13.8 states/eV per cell.

The space group is P4/mbm (No. 127) and the conventional cell measures 7.286, 7.286 and 2.825 Å, with angles of 90.00, 90.00 and 90.00 degrees. The inequivalent atoms are Tc at (0.174, 0.326, 0.000), W at (0.000, 0.000, 0.500) and Cl at (0.137, 0.637, 0.500).

***

Entry 2:
Density functional theory data (PBE-GGA) for Ce6P2SBr3 after structural relaxation.

As for the theoretical density: 6345 kg/m³. The calculation puts the uncorrected formation energy at -1.474 eV per atom. The total energy is -6.10 eV per atom. The size of the total moment comes out at 0.45 μB per atom. For the density of states at the Fermi level, the calculation gives 69.0 states/eV per cell.

The space group is C2/m (No. 12) and the conventional cell measures 7.083, 12.270 and 7.457 Å, with angles of 90.00, 108.47 and 90.00 degrees. The inequivalent atoms are Ce at (0.238, 0.166, 0.216), Ce at (0.240, 0.500, 0.217), P at (0.000, 0.334, 0.000), S at (0.000, 0.000, 0.000), Br at (0.000, 0.169, 0.500) and Br at (0.000, 0.500, 0.500).

***

Entry 3:
Density functional theory data (PBE-GGA) for LiDy2Th3Se6 after structural relaxation.

As for the theoretical density: 8429 kg/m³. The calculation puts the uncorrected formation energy at -1.604 eV per atom. The total energy is -6.13 eV per atom. The size of the total moment comes out at 0.00 μB per atom. For the density of states at the Fermi level, the calculation gives 13.3 states/eV per cell.

The space group is C2/m (No. 12) and the conventional cell measures 18.362, 3.999 and 8.514 Å, with angles of 90.00, 108.82 and 90.00 degrees. The inequivalent atoms are Li at (0.000, 0.000, 0.000), Dy at (0.166, 0.500, 0.331), Th at (0.000, 0.000, 0.500), Th at (0.169, 0.500, 0.835), Se at (0.002, 0.500, 0.232), Se at (0.156, 0.000, 0.087) and Se at (0.170, 0.000, 0.573).